Entry from Alexandria via LeMat-Bulk: an optimized crystal structure of MgRu2Rh (GGA-PBE). Values from VASP.

Total DFT energy (no corrections)   -6.647 eV/atom
D(E_F)   1.437 states/eV per atom
Total magnetization   0.00 μB/cell

Quantum ESPRESSO input file:
```
&SYSTEM
  ibrav = 0, nat = 4, ntyp = 3
/
ATOMIC_SPECIES
Ru 101.07 Ru.upf
Mg 24.30 Mg.upf
Rh 102.91 Rh.upf
CELL_PARAMETERS angstrom
-0.045 4.506 -0.274
-3.344 0.151 3.029
1.928 0.148 2.121
ATOMIC_POSITIONS angstrom
Ru -1.695 2.328 1.377
Ru 0.000 0.000 0.000
Mg 0.941 2.327 0.924
Rh -0.708 0.149 2.575
```


Entry from Alexandria via LeMat-Bulk: an optimized crystal structure of MgRu2Rh (GGA-PBE). Values from VASP.

Total DFT energy (no corrections)   -6.870 eV/atom
D(E_F)   1.007 states/eV per atom
Total magnetization   0.00 μB/cell

Quantum ESPRESSO input file:
```
&SYSTEM
  ibrav = 0, nat = 4, ntyp = 3
/
ATOMIC_SPECIES
Ru 101.07 Ru.upf
Mg 24.30 Mg.upf
Rh 102.91 Rh.upf
CELL_PARAMETERS angstrom
-4.621 -1.076 0.453
-3.265 -2.529 2.378
-1.396 3.101 3.323
ATOMIC_POSITIONS angstrom
Ru -6.947 -0.205 4.736
Ru -9.184 -0.622 5.996
Mg -4.633 -0.387 2.970
Rh -2.441 -0.048 1.682
```


Entry from Alexandria via LeMat-Bulk: an optimized crystal structure of Mg2RuRh (GGA-PBE). Values from VASP.

Total DFT energy (no corrections)   -4.629 eV/atom
D(E_F)   0.839 states/eV per atom
Total magnetization   3.08 μB/cell

Quantum ESPRESSO input file:
```
&SYSTEM
  ibrav = 0, nat = 8, ntyp = 3
/
ATOMIC_SPECIES
Ru 101.07 Ru.upf
Rh 102.91 Rh.upf
Mg 24.30 Mg.upf
CELL_PARAMETERS angstrom
7.040 0.000 0.000
0.000 7.040 0.000
3.520 3.520 2.735
ATOMIC_POSITIONS angstrom
Ru 3.520 3.520 0.000
Ru 3.520 7.040 1.368
Rh 7.040 3.520 1.368
Rh 0.000 0.000 0.000
Mg 1.708 5.280 0.684
Mg 5.280 5.228 2.051
Mg 8.800 8.851 2.051
Mg 5.332 1.760 0.684
```


Entry from Alexandria via LeMat-Bulk: an optimized crystal structure of MgRu2Rh (GGA-PBE). Values from VASP.

Total DFT energy (no corrections)   -6.741 eV/atom
D(E_F)   1.403 states/eV per atom
Total magnetization   0.00 μB/cell

Quantum ESPRESSO input file:
```
&SYSTEM
  ibrav = 0, nat = 4, ntyp = 3
/
ATOMIC_SPECIES
Ru 101.07 Ru.upf
Rh 102.91 Rh.upf
Mg 24.30 Mg.upf
CELL_PARAMETERS angstrom
-0.938 0.366 2.536
-1.707 -2.104 -0.327
5.572 -4.953 2.777
ATOMIC_POSITIONS angstrom
Ru 2.858 -2.541 1.424
Ru 5.500 -4.888 2.741
Rh 2.857 -4.583 3.187
Mg 0.071 -2.107 1.798
```